#A
LaRe2Rh | GGA-PBEsol | relaxed

a b c (Å): 4.6832 4.6832 3.1187
angles (deg): 90.00 90.00 90.00
Sites, in units of the cell vectors:
La  0.0000  0.0000  0.0000
Re  0.0000  0.5000  0.5000
Re  0.5000  0.0000  0.5000
Rh  0.5000  0.5000  0.0000

Output
Space group: P4/mmm, No. 123

#B
LaRe2Rh | GGA-PBEsol | relaxed

a b c (Å): 4.6553 4.6553 5.9147
angles (deg): 98.81 98.81 36.40
Sites, in units of the cell vectors:
La  0.0000  0.0000  0.0000
Re  0.2298  0.2298  0.6377
Re  0.4934  0.4934  0.5090
Rh  0.7618  0.7618  0.2820

Output
Space group: Cm, No. 8

It is #B that is most stable; the runner-up trails by 500 meV per atom.

#A
LaRe2Ru | GGA-PBEsol | relaxed

a b c (Å): 4.5666 4.5666 4.5666
angles (deg): 119.88 119.88 90.20
Sites, in units of the cell vectors:
La  0.0000  0.0000  0.0000
Re  0.2500  0.7500  0.5000
Re  0.7500  0.2500  0.5000
Ru  0.5000  0.5000  0.0000

Output
Space group: I4/mmm, No. 139

#B
LaRe2Ru | GGA-PBEsol | relaxed

a b c (Å): 5.4934 5.4934 2.7945
angles (deg): 98.83 98.83 121.79
Sites, in units of the cell vectors:
La  0.0000  0.0000  0.0000
Re  0.0000  0.5000  0.5000
Re  0.5000  0.0000  0.5000
Ru  0.5000  0.5000  0.0000

Output
Space group: C2/m, No. 12

It is #B that is most stable; the runner-up trails by 173 meV per atom.

#A
LaReSe | GGA-PBEsol | relaxed

a b c (Å): 4.5431 4.5431 4.5431
angles (deg): 60.00 60.00 60.00
Sites, in units of the cell vectors:
La  0.0000  0.0000  0.0000
Re  0.7500  0.7500  0.7500
Se  0.5000  0.5000  0.5000

Output
Space group: F-43m, No. 216

#B
LaReSe | GGA-PBEsol | relaxed

a b c (Å): 4.3729 4.3729 3.8379
angles (deg): 90.00 90.00 120.00
Sites, in units of the cell vectors:
La  0.0000  0.0000  0.0000
Re  0.3333  0.6667  0.5000
Se  0.6667  0.3333  0.5000

Output
Space group: P-6m2, No. 187

It is #B that is most stable; the runner-up trails by 471 meV per atom.

#A
LaTa2Re | GGA-PBEsol | relaxed

a b c (Å): 3.9658 3.9658 4.9361
angles (deg): 90.00 90.00 90.00
Sites, in units of the cell vectors:
La  0.0000  0.0000  0.0000
Ta  0.0000  0.5000  0.5000
Ta  0.5000  0.0000  0.5000
Re  0.5000  0.5000  0.0000

Output
Space group: P4/mmm, No. 123

#B
LaTa2Re | GGA-PBEsol | relaxed

a b c (Å): 5.6306 5.6306 5.6306
angles (deg): 138.69 138.69 59.85
Sites, in units of the cell vectors:
La  0.0000  0.0000  0.0000
Ta  0.2500  0.7500  0.5000
Ta  0.7500  0.2500  0.5000
Re  0.5000  0.5000  0.0000

Output
Space group: I4/mmm, No. 139

It is #B that is most stable; the runner-up trails by 57 meV per atom.

#A
La2TaRe | GGA-PBEsol | relaxed

a b c (Å): 3.0457 3.0457 10.1808
angles (deg): 90.00 90.00 114.96
Sites, in units of the cell vectors:
La  0.0000  0.0000  0.2310
La  0.0000  0.0000  0.7690
Ta  0.5000  0.5000  0.5000
Re  0.5000  0.5000  0.0000

Output
Space group: Cmmm, No. 65

#B
La2TaRe | GGA-PBEsol | relaxed

a b c (Å): 4.9406 4.9406 4.9406
angles (deg): 60.00 60.00 60.00
Sites, in units of the cell vectors:
La  0.0000  0.0000  0.0000
La  0.2500  0.2500  0.2500
Ta  0.5000  0.5000  0.5000
Re  0.7500  0.7500  0.7500

Output
Space group: F-43m, No. 216

#C
La2TaRe | GGA-PBEsol | relaxed

a b c (Å): 6.1286 6.1286 5.2596
angles (deg): 115.23 115.23 33.10
Sites, in units of the cell vectors:
La  0.0000  0.0000  0.0000
La  0.2260  0.2260  0.7267
Ta  0.4321  0.4321  0.4319
Re  0.7611  0.7611  0.2620

Output
Space group: Cm, No. 8

#D
La2TaRe | GGA-PBEsol | relaxed

a b c (Å): 3.1788 3.1788 8.9856
angles (deg): 90.00 90.00 90.00
Sites, in units of the cell vectors:
La  0.0000  0.0000  0.2232
La  0.0000  0.0000  0.7768
Ta  0.5000  0.5000  0.5000
Re  0.5000  0.5000  0.0000

Output
Space group: P4/mmm, No. 123

It is #C that is most stable; the runner-up trails by 241 meV per atom.

#A
LaReTe2 | GGA-PBEsol | relaxed

a b c (Å): 3.3491 3.3491 9.0722
angles (deg): 90.00 90.00 90.00
Sites, in units of the cell vectors:
La  0.0000  0.0000  0.0000
Re  0.5000  0.5000  0.2335
Te  0.0000  0.0000  0.3798
Te  0.5000  0.5000  0.7329

Output
Space group: P4mm, No. 99

#B
LaReTe2 | GGA-PBEsol | relaxed

a b c (Å): 5.1277 5.1277 5.1277
angles (deg): 60.00 60.00 60.00
Sites, in units of the cell vectors:
La  0.0000  0.0000  0.0000
Re  0.2500  0.2500  0.2500
Te  0.5000  0.5000  0.5000
Te  0.7500  0.7500  0.7500

Output
Space group: F-43m, No. 216

It is #A that is most stable; the runner-up trails by 619 meV per atom.

#A
LaTl2Re | GGA-PBEsol | relaxed

a b c (Å): 3.4857 3.4857 7.9319
angles (deg): 90.00 90.00 90.00
Sites, in units of the cell vectors:
La  0.0000  0.0000  0.0000
Tl  0.0000  0.0000  0.4087
Tl  0.5000  0.5000  0.6733
Re  0.5000  0.5000  0.2224

Output
Space group: P4mm, No. 99

#B
LaTl2Re | GGA-PBEsol | relaxed

a b c (Å): 5.3079 5.3079 5.3079
angles (deg): 127.99 127.99 76.63
Sites, in units of the cell vectors:
La  0.0000  0.0000  0.0000
Tl  0.2500  0.7500  0.5000
Tl  0.7500  0.2500  0.5000
Re  0.5000  0.5000  0.0000

Output
Space group: I4/mmm, No. 139

It is #B that is most stable; the runner-up trails by 14 meV per atom.

#A
La2YRe | GGA-PBEsol | relaxed

a b c (Å): 6.2178 6.2178 3.2700
angles (deg): 104.07 104.07 118.88
Sites, in units of the cell vectors:
La  0.0000  0.5000  0.0000
La  0.5000  0.0000  0.0000
Y  0.0000  0.0000  0.5000
Re  0.5000  0.5000  0.5000

Output
Space group: C2/m, No. 12

#B
La2YRe | GGA-PBEsol | relaxed

a b c (Å): 4.6134 4.6134 4.6742
angles (deg): 90.00 90.00 90.00
Sites, in units of the cell vectors:
La  0.0000  0.5000  0.0000
La  0.5000  0.0000  0.0000
Y  0.0000  0.0000  0.5000
Re  0.5000  0.5000  0.5000

Output
Space group: P4/mmm, No. 123

It is #B that is most stable; the runner-up trails by 100 meV per atom.

#A
LaZrRe2 | GGA-PBEsol | relaxed

a b c (Å): 5.4971 5.4971 5.4971
angles (deg): 145.90 127.16 64.40
Sites, in units of the cell vectors:
La  0.0000  0.0000  0.0000
Zr  0.5000  0.5000  0.0000
Re  0.2502  0.7502  0.5000
Re  0.7498  0.2498  0.5000

Output
Space group: Immm, No. 71

#B
LaZrRe2 | GGA-PBEsol | relaxed

a b c (Å): 4.6984 4.6984 4.6984
angles (deg): 60.00 60.00 60.00
Sites, in units of the cell vectors:
La  0.0000  0.0000  0.0000
Zr  0.7500  0.7500  0.7500
Re  0.2500  0.2500  0.2500
Re  0.5000  0.5000  0.5000

Output
Space group: F-43m, No. 216

It is #B that is most stable; the runner-up trails by 107 meV per atom.

#A
La5Rh3 | GGA-PBEsol | relaxed

a b c (Å): 8.2795 8.2795 6.8898
angles (deg): 90.00 90.00 120.00
Sites, in units of the cell vectors:
La  0.0000  0.2519  0.2500
La  0.0000  0.7481  0.7500
La  0.2519  0.0000  0.2500
La  0.2519  0.2519  0.7500
La  0.3333  0.6667  0.0000
La  0.3333  0.6667  0.5000
La  0.6667  0.3333  0.0000
La  0.6667  0.3333  0.5000
La  0.7481  0.0000  0.7500
La  0.7481  0.7481  0.2500
Rh  0.0000  0.3840  0.7500
Rh  0.0000  0.6160  0.2500
Rh  0.3840  0.0000  0.7500
Rh  0.3840  0.3840  0.2500
Rh  0.6160  0.0000  0.2500
Rh  0.6160  0.6160  0.7500

Output
Space group: P6_3/mcm, No. 193

#B
La5Rh3 | GGA-PBEsol | relaxed

a b c (Å): 8.5224 8.5224 8.5224
angles (deg): 97.69 97.69 137.10
Sites, in units of the cell vectors:
La  0.0875  0.7891  0.8766
La  0.2109  0.0875  0.2984
La  0.2500  0.7500  0.5000
La  0.2891  0.5875  0.8766
La  0.4125  0.2891  0.7016
La  0.5875  0.7109  0.2984
La  0.7109  0.4125  0.1234
La  0.7500  0.2500  0.5000
La  0.7891  0.9125  0.7016
La  0.9125  0.2109  0.1234
Rh  0.1563  0.3437  0.5000
Rh  0.2500  0.2500  0.0000
Rh  0.3437  0.8437  0.1874
Rh  0.6563  0.1563  0.8126
Rh  0.7500  0.7500  0.0000
Rh  0.8437  0.6563  0.5000

Output
Space group: I4/mcm, No. 140

It is #A that is most stable; the runner-up trails by 29 meV per atom.

#A
SrLa2Rh | GGA-PBEsol | relaxed

a b c (Å): 10.2416 10.2416 10.2416
angles (deg): 23.28 23.28 23.28
Sites, in units of the cell vectors:
Sr  0.0000  0.0000  0.0000
La  0.2174  0.2174  0.2174
La  0.7826  0.7826  0.7826
Rh  0.5000  0.5000  0.5000

Output
Space group: R-3m, No. 166

#B
SrLa2Rh | GGA-PBEsol | relaxed

a b c (Å): 6.2360 6.2360 6.2360
angles (deg): 138.18 138.18 60.63
Sites, in units of the cell vectors:
Sr  0.0000  0.0000  0.0000
La  0.2500  0.7500  0.5000
La  0.7500  0.2500  0.5000
Rh  0.5000  0.5000  0.0000

Output
Space group: I4/mmm, No. 139

#C
SrLa2Rh | GGA-PBEsol | relaxed

a b c (Å): 5.3013 5.3013 5.3013
angles (deg): 60.00 60.00 60.00
Sites, in units of the cell vectors:
Sr  0.0000  0.0000  0.0000
La  0.2500  0.2500  0.2500
La  0.5000  0.5000  0.5000
Rh  0.7500  0.7500  0.7500

Output
Space group: F-43m, No. 216

It is #A that is most stable; the runner-up trails by 478 meV per atom.

#A
La2TcRh | GGA-PBEsol | relaxed

a b c (Å): 8.3926 8.3926 8.3926
angles (deg): 24.62 24.62 24.62
Sites, in units of the cell vectors:
La  0.2481  0.2481  0.2481
La  0.7519  0.7519  0.7519
Tc  0.0000  0.0000  0.0000
Rh  0.5000  0.5000  0.5000

Output
Space group: R-3m, No. 166

#B
La2TcRh | GGA-PBEsol | relaxed

a b c (Å): 3.5391 3.5391 6.9078
angles (deg): 90.00 90.00 90.00
Sites, in units of the cell vectors:
La  0.0000  0.0000  0.2492
La  0.0000  0.0000  0.7508
Tc  0.5000  0.5000  0.5000
Rh  0.5000  0.5000  0.0000

Output
Space group: P4/mmm, No. 123

It is #B that is most stable; the runner-up trails by 211 meV per atom.